# CsBiPb2

A geometry-optimized CsBiPb2 structure (GGA-PBE, Alexandria).

Structure (extended XYZ):
```
4
Lattice="5.434 0.000 0.000 2.717 4.706 0.000 2.717 1.569 6.879" Properties=species:S:1:pos:R:3 pbc="T T T"
Pb 2.717 1.569 0.926
Pb 8.151 4.706 5.953
Cs 5.434 3.137 3.439
Bi 0.000 0.000 0.000
```

calculated formation energy: -0.11 eV per atom
symmetry: R-3m, No. 166